Below is SmCd2Ag2 after structural relaxation, with properties calculated at the PBE level.

a b c (Å): 5.0219 5.0835 5.5414
angles (deg): 87.89 67.00 60.44
With the nearest neighbours (Å) after each atom.
Fractional positions:
Sm: 0.0000 0.0000 0.0000  6 Ag 3.12-3.19, 8 Cd 3.31-3.47
Cd: 0.4693 0.7586 0.3467  5 Ag 2.91-3.18, 2 Cd 3.03-3.24
Cd: 0.5307 0.2414 0.6533  5 Ag 2.91-3.18, 2 Cd 3.03-3.24
Ag: 0.2113 0.3824 0.2343  1 Ag 2.73, 4 Cd 2.91-3.03
Ag: 0.7887 0.6176 0.7657  1 Ag 2.73, 4 Cd 2.91-3.03

Summary:
formation energy: -0.22 eV per atom
ΔE to the lowest computed polymorph: 0 meV per atom
SG: P-1
ρ: 8.8 g cm⁻³
DOS at the Fermi energy: 0.394 states/eV per atom
magnetic moment: 0.0 Bohr magnetons per cell
crystal system: triclinic